# 1
Below is crystalline LiNbIn at its relaxed geometry, with properties calculated at the PBE-GGA level.

Unit cell a=4.598 b=4.598 c=4.598 alpha=60.00 beta=60.00 gamma=60.00
Atoms (fractional coordinates):
In 0.250 0.250 0.250
Li 0.750 0.750 0.750
Nb 0.000 0.000 0.000

Output
- SG = F-43m
- energy above the most stable polymorph in this dataset (eV/atom) = 0.299

# 2
Below is crystalline Pm2AlAu6 at its relaxed geometry, with properties calculated at the PBE-GGA level.

Unit cell a=6.329 b=6.329 c=5.501 alpha=90.01 beta=90.01 gamma=59.98
Atoms (fractional coordinates):
Au 0.180 0.639 0.304
Au 0.180 0.180 0.304
Au 0.820 0.361 0.696
Au 0.361 0.820 0.696
Au 0.639 0.180 0.304
Au 0.820 0.820 0.696
Al 0.000 0.000 0.000
Pm 0.333 0.333 0.824
Pm 0.667 0.667 0.176

Output
- raw total energy (eV/cell) = -38.84
- SG = P-3m1

# 3
Below is crystalline HfRe2B at its relaxed geometry, with properties calculated at the PBE-GGA level.

Unit cell a=4.339 b=4.339 c=4.339 alpha=60.00 beta=60.00 gamma=60.00
Atoms (fractional coordinates):
Re 0.750 0.750 0.750
Re 0.000 0.000 0.000
B 0.500 0.500 0.500
Hf 0.250 0.250 0.250

Output
- raw total energy (eV/cell) = -39.49
- SG = F-43m